Entry 1:
Here is AcGa2PO8 after structural relaxation from Alexandria. Energies are from PBE-GGA.

Unit cell a=4.847 b=4.847 c=7.312 alpha=70.64 beta=70.64 gamma=60.00
Last column: magnetic moment on the atom in μB.
Atoms (fractional coordinates):
O (0.182, 0.182, 0.454)  0.39
O (0.318, 0.744, 0.855)  0.16
O (0.256, 0.917, 0.145)  0.16
O (0.744, 0.083, 0.855)  0.16
O (0.682, 0.256, 0.145)  0.16
O (0.083, 0.318, 0.855)  0.16
O (0.917, 0.682, 0.145)  0.16
O (0.818, 0.818, 0.546)  0.39
P (0.000, 0.000, 0.000)  -0.01
Ga (0.724, 0.724, 0.827)  -0.01
Ga (0.276, 0.276, 0.173)  -0.01
Ac (0.500, 0.500, 0.500)  0.01

Output
* energy: -6.399 eV/atom

Entry 2:
Here is AcGaP2O8 after structural relaxation from Alexandria. Energies are from PBE-GGA.

Unit cell a=4.964 b=4.964 c=7.158 alpha=90.00 beta=90.00 gamma=120.00
Atoms (fractional coordinates):
Ga (0.000, 0.000, 0.500)
O (0.337, 0.258, 0.323)
O (0.920, 0.663, 0.323)
O (0.667, 0.333, 0.045)
O (0.080, 0.337, 0.677)
O (0.742, 0.080, 0.323)
O (0.333, 0.667, 0.955)
O (0.663, 0.742, 0.677)
O (0.258, 0.920, 0.677)
P (0.333, 0.667, 0.738)
P (0.667, 0.333, 0.262)
Ac (0.000, 0.000, 0.000)

Output
* energy: -7.352 eV/atom

Entry 3:
Here is Ac2PaGaO8 after structural relaxation from Alexandria. Energies are from PBE-GGA.

Unit cell a=4.113 b=5.765 c=8.139 alpha=97.65 beta=84.50 gamma=95.72
Last column: magnetic moment on the atom in μB.
Atoms (fractional coordinates):
O (0.329, 0.244, 0.985)  0.30
O (0.037, 0.822, 0.777)  0.39
O (0.963, 0.178, 0.223)  0.39
O (0.053, 0.727, 0.309)  0.04
O (0.528, 0.783, 0.533)  0.14
O (0.472, 0.217, 0.467)  0.14
O (0.947, 0.273, 0.691)  0.04
O (0.671, 0.756, 0.015)  0.30
Pa (0.000, 0.000, 0.500)  0.01
Ac (0.528, 0.487, 0.248)  0.01
Ac (0.472, 0.513, 0.752)  0.01
Ga (0.000, 0.000, 0.000)  -0.02

Output
* energy: -7.700 eV/atom

Entry 4:
Here is AcGaPbO4 after structural relaxation from Alexandria. Energies are from PBE-GGA.

Unit cell a=6.461 b=5.843 c=7.584 alpha=90.00 beta=94.13 gamma=90.00
Atoms (fractional coordinates):
Ac (0.192, 0.250, 0.605)
Ac (0.808, 0.750, 0.395)
O (0.555, 0.250, 0.416)
O (0.126, 0.999, 0.336)
O (0.126, 0.501, 0.336)
O (0.874, 0.001, 0.664)
O (0.874, 0.499, 0.664)
O (0.445, 0.750, 0.584)
O (0.503, 0.750, 0.189)
O (0.497, 0.250, 0.811)
Ga (0.309, 0.750, 0.356)
Ga (0.691, 0.250, 0.644)
Pb (0.348, 0.250, 0.166)
Pb (0.652, 0.750, 0.834)

Output
* energy: -6.486 eV/atom

Entry 5:
Here is AcGaPb2O8 after structural relaxation from Alexandria. Energies are from PBE-GGA.

Unit cell a=4.793 b=4.949 c=7.357 alpha=90.00 beta=90.00 gamma=84.86
Last column: magnetic moment on the atom in μB.
Atoms (fractional coordinates):
O (0.136, 0.763, 0.791)  0.05
O (0.344, 0.219, 0.000)  0.41
O (0.425, 0.275, 0.500)  0.38
O (0.136, 0.763, 0.209)  0.05
O (0.575, 0.725, 0.500)  0.38
O (0.656, 0.781, 0.000)  0.41
O (0.864, 0.237, 0.791)  0.05
O (0.864, 0.237, 0.209)  0.05
Pb (0.500, 0.500, 0.226)  -0.02
Pb (0.500, 0.500, 0.774)  -0.02
Ac (0.000, 0.000, 0.500)  0.03
Ga (0.000, 0.000, 0.000)  -0.01

Output
* energy: -5.782 eV/atom

Entry 6:
Here is Ac2GaPbO6 after structural relaxation from Alexandria. Energies are from PBE-GGA.

Unit cell a=5.888 b=6.091 c=8.440 alpha=90.00 beta=90.55 gamma=90.00
Atoms (fractional coordinates):
Ac (0.986, 0.052, 0.750)
Ac (0.514, 0.552, 0.750)
Ac (0.486, 0.448, 0.250)
Ac (0.014, 0.948, 0.250)
Ga (0.500, 0.000, 0.500)
Ga (0.000, 0.500, 0.000)
O (0.815, 0.778, 0.942)
O (0.277, 0.686, 0.051)
O (0.685, 0.278, 0.558)
O (0.223, 0.186, 0.449)
O (0.601, 0.037, 0.270)
O (0.899, 0.537, 0.230)
O (0.315, 0.722, 0.442)
O (0.777, 0.814, 0.551)
O (0.723, 0.314, 0.949)
O (0.185, 0.222, 0.058)
O (0.101, 0.463, 0.770)
O (0.399, 0.963, 0.730)
Pb (0.000, 0.500, 0.500)
Pb (0.500, 0.000, 0.000)

Output
* energy: -6.796 eV/atom

Entry 7:
Here is Ac2GaPdO6 after structural relaxation from Alexandria. Energies are from PBE-GGA.

Unit cell a=5.715 b=5.714 c=8.086 alpha=90.00 beta=90.00 gamma=90.00
Atoms (fractional coordinates):
Ga (0.000, 0.750, 0.000)
Ga (0.500, 0.250, 0.500)
O (0.756, 0.506, 0.000)
O (0.256, 0.006, 0.500)
O (0.244, 0.994, 0.000)
O (0.744, 0.494, 0.500)
O (0.000, 0.750, 0.244)
O (0.256, 0.494, 0.500)
O (0.244, 0.506, 0.000)
O (0.500, 0.250, 0.744)
O (0.500, 0.250, 0.256)
O (0.756, 0.994, 0.000)
O (0.744, 0.006, 0.500)
O (0.000, 0.750, 0.756)
Ac (0.500, 0.750, 0.750)
Ac (0.500, 0.750, 0.250)
Ac (0.000, 0.250, 0.250)
Ac (0.000, 0.250, 0.750)
Pd (0.500, 0.250, 0.000)
Pd (0.000, 0.750, 0.500)

Output
* energy: -6.819 eV/atom

Entry 8:
Here is AcGa2PdO6 after structural relaxation from Alexandria. Energies are from PBE-GGA.

Unit cell a=6.571 b=7.257 c=7.257 alpha=70.50 beta=68.73 gamma=68.73
Last column: magnetic moment on the atom in μB.
Atoms (fractional coordinates):
Ac (0.250, 0.823, 0.177)  0.00
Ac (0.750, 0.177, 0.823)  0.00
O (0.098, 0.714, 0.606)  0.03
O (0.068, 0.625, 0.098)  0.02
O (0.666, 0.805, 0.982)  0.15
O (0.166, 0.982, 0.805)  0.15
O (0.568, 0.098, 0.625)  0.02
O (0.334, 0.195, 0.018)  0.15
O (0.902, 0.286, 0.394)  0.03
O (0.432, 0.902, 0.375)  0.02
O (0.932, 0.375, 0.902)  0.02
O (0.598, 0.606, 0.714)  0.03
O (0.834, 0.018, 0.195)  0.15
O (0.402, 0.394, 0.286)  0.03
Pd (0.250, 0.248, 0.752)  0.49
Pd (0.750, 0.752, 0.248)  0.49
Ga (0.169, 0.351, 0.214)  0.00
Ga (0.331, 0.786, 0.649)  0.00
Ga (0.669, 0.214, 0.351)  0.00
Ga (0.831, 0.649, 0.786)  0.00

Output
* energy: -6.226 eV/atom

Entry 9:
Here is AcGaPdO4 after structural relaxation from Alexandria. Energies are from PBE-GGA.

Unit cell a=5.631 b=5.631 c=7.372 alpha=90.00 beta=90.00 gamma=111.29
Last column: magnetic moment on the atom in μB.
Atoms (fractional coordinates):
Pd (0.810, 0.190, 0.250)  0.35
Pd (0.190, 0.810, 0.750)  0.35
O (0.231, 0.769, 0.030)  0.04
O (0.769, 0.231, 0.530)  0.04
O (0.770, 0.764, 0.250)  0.06
O (0.231, 0.769, 0.470)  0.04
O (0.236, 0.230, 0.250)  0.06
O (0.769, 0.231, 0.970)  0.04
O (0.764, 0.770, 0.750)  0.06
O (0.230, 0.236, 0.750)  0.06
Ga (0.129, 0.871, 0.250)  0.00
Ga (0.871, 0.129, 0.750)  0.00
Ac (0.500, 0.500, 0.500)  0.01
Ac (0.500, 0.500, 0.000)  0.01

Output
* energy: -6.317 eV/atom

Entry 10:
Here is Ac4Ga3PdO12 after structural relaxation from Alexandria. Energies are from PBE-GGA.

Unit cell a=6.948 b=6.948 c=6.948 alpha=109.47 beta=109.47 gamma=109.47
Last column: magnetic moment on the atom in μB.
Atoms (fractional coordinates):
Ga (0.500, 0.500, 0.000)  0.03
Ga (0.000, 0.500, 0.500)  0.03
Ga (0.500, 0.000, 0.500)  0.03
O (0.258, 0.000, 0.258)  0.04
O (0.000, 0.258, 0.258)  0.04
O (0.250, 0.500, 0.750)  0.01
O (0.500, 0.250, 0.750)  0.01
O (0.742, 0.000, 0.742)  0.04
O (0.750, 0.500, 0.250)  0.01
O (0.500, 0.750, 0.250)  0.01
O (0.742, 0.742, 0.000)  0.04
O (0.750, 0.250, 0.500)  0.01
O (0.258, 0.258, 0.000)  0.04
O (0.000, 0.742, 0.742)  0.04
O (0.250, 0.750, 0.500)  0.01
Pd (0.000, 0.000, 0.000)  0.58
Ac (0.500, 0.500, 0.500)  0.00
Ac (0.500, 0.000, 0.000)  0.00
Ac (0.000, 0.000, 0.500)  0.00
Ac (0.000, 0.500, 0.000)  0.00

Output
* energy: -6.914 eV/atom

Entry 11:
Here is AcGaPt2O8 after structural relaxation from Alexandria. Energies are from PBE-GGA.

Unit cell a=5.790 b=5.790 c=7.088 alpha=90.00 beta=90.00 gamma=120.00
Atoms (fractional coordinates):
Pt (0.667, 0.333, 0.211)
Pt (0.333, 0.667, 0.789)
O (0.714, 0.857, 0.807)
O (0.857, 0.714, 0.193)
O (0.333, 0.667, 0.519)
O (0.143, 0.286, 0.807)
O (0.667, 0.333, 0.481)
O (0.143, 0.857, 0.807)
O (0.857, 0.143, 0.193)
O (0.286, 0.143, 0.193)
Ac (0.000, 0.000, 0.500)
Ga (0.000, 0.000, 0.000)

Output
* energy: -5.733 eV/atom

Entry 12:
Here is AcGaPtO6 after structural relaxation from Alexandria. Energies are from PBE-GGA.

Unit cell a=5.266 b=5.266 c=5.387 alpha=90.00 beta=90.00 gamma=60.00
Last column: magnetic moment on the atom in μB.
Atoms (fractional coordinates):
O (0.370, 0.626, 0.296)  0.18
O (0.370, 0.004, 0.704)  0.18
O (0.004, 0.626, 0.704)  0.18
O (0.626, 0.370, 0.704)  0.18
O (0.626, 0.004, 0.296)  0.18
O (0.004, 0.370, 0.296)  0.18
Ga (0.667, 0.667, 0.500)  0.00
Ac (0.000, 0.000, 0.000)  0.02
Pt (0.333, 0.333, 0.500)  0.66

Output
* energy: -6.369 eV/atom

Entry 13:
Here is AcGa2PtO8 after structural relaxation from Alexandria. Energies are from PBE-GGA.

Unit cell a=4.515 b=4.611 c=7.531 alpha=85.88 beta=90.29 gamma=87.86
Last column: magnetic moment on the atom in μB.
Atoms (fractional coordinates):
Ga (0.488, 0.482, 0.187)  0.00
Ga (0.512, 0.518, 0.813)  0.00
O (0.485, 0.364, 0.452)  0.00
O (0.699, 0.706, 0.002)  0.10
O (0.194, 0.779, 0.220)  0.03
O (0.805, 0.191, 0.206)  0.04
O (0.515, 0.636, 0.548)  0.00
O (0.806, 0.221, 0.780)  0.03
O (0.195, 0.809, 0.794)  0.04
O (0.301, 0.294, 0.998)  0.10
Pt (0.000, 0.000, 0.000)  0.21
Ac (0.000, 0.000, 0.500)  0.00

Output
* energy: -6.089 eV/atom

Entry 14:
Here is AcPuGaO5 after structural relaxation from Alexandria. Energies are from PBE-GGA.

Unit cell a=6.095 b=6.095 c=7.699 alpha=102.19 beta=102.19 gamma=108.28
Last column: magnetic moment on the atom in μB.
Atoms (fractional coordinates):
O (0.385, 0.269, 0.079)  -0.04
O (0.910, 0.090, 0.750)  -0.11
O (0.615, 0.731, 0.921)  -0.04
O (0.269, 0.385, 0.579)  -0.04
O (0.906, 0.326, 0.116)  -0.03
O (0.094, 0.674, 0.884)  -0.03
O (0.731, 0.615, 0.421)  -0.04
O (0.326, 0.906, 0.616)  -0.03
O (0.674, 0.094, 0.384)  -0.03
O (0.090, 0.910, 0.250)  -0.11
Ac (0.660, 0.340, 0.750)  0.01
Ac (0.340, 0.660, 0.250)  0.01
Ga (0.319, 0.681, 0.750)  0.00
Ga (0.681, 0.319, 0.250)  0.00
Pu (0.000, 0.000, 0.500)  4.18
Pu (0.000, 0.000, 0.000)  4.18

Output
* energy: -8.564 eV/atom

Entry 15:
Here is RbAc2GaO5 after structural relaxation from Alexandria. Energies are from PBE-GGA.

Unit cell a=5.997 b=7.196 c=7.196 alpha=90.00 beta=90.00 gamma=90.00
Atoms (fractional coordinates):
Ac (0.500, 0.182, 0.318)
Ac (0.500, 0.818, 0.682)
Ac (0.500, 0.318, 0.818)
Ac (0.500, 0.682, 0.182)
O (0.235, 0.129, 0.629)
O (0.765, 0.629, 0.871)
O (0.765, 0.371, 0.129)
O (0.235, 0.871, 0.371)
O (0.500, 0.000, 0.000)
O (0.765, 0.871, 0.371)
O (0.235, 0.371, 0.129)
O (0.500, 0.500, 0.500)
O (0.235, 0.629, 0.871)
O (0.765, 0.129, 0.629)
Rb (0.000, 0.000, 0.000)
Rb (0.000, 0.500, 0.500)
Ga (0.000, 0.000, 0.500)
Ga (0.000, 0.500, 0.000)

Output
* energy: -6.612 eV/atom

Entry 16:
Here is RbAcGaO4 after structural relaxation from Alexandria. Energies are from PBE-GGA.

Unit cell a=6.421 b=4.929 c=8.582 alpha=90.00 beta=102.10 gamma=90.00
Last column: magnetic moment on the atom in μB.
Atoms (fractional coordinates):
Ga (0.233, 0.750, 0.304)  0.00
Ga (0.767, 0.250, 0.696)  0.00
O (0.980, 0.987, 0.702)  0.10
O (0.436, 0.750, 0.186)  0.00
O (0.980, 0.513, 0.702)  0.10
O (0.624, 0.250, 0.479)  -0.01
O (0.376, 0.750, 0.521)  -0.01
O (0.020, 0.013, 0.298)  0.10
O (0.020, 0.487, 0.298)  0.10
O (0.564, 0.250, 0.814)  0.00
Rb (0.268, 0.250, 0.026)  0.00
Rb (0.732, 0.750, 0.974)  0.00
Ac (0.738, 0.750, 0.430)  0.00
Ac (0.262, 0.250, 0.570)  0.00

Output
* energy: -6.045 eV/atom

Entry 17:
Here is Rb3AcGa2O6 after structural relaxation from Alexandria. Energies are from PBE-GGA.

Unit cell a=6.415 b=6.415 c=7.650 alpha=90.00 beta=90.00 gamma=120.00
Atoms (fractional coordinates):
O (0.828, 0.172, 0.711)
O (0.345, 0.172, 0.711)
O (0.655, 0.828, 0.289)
O (0.828, 0.655, 0.711)
O (0.172, 0.828, 0.289)
O (0.172, 0.345, 0.289)
Ga (0.667, 0.333, 0.713)
Ga (0.333, 0.667, 0.287)
Ac (0.000, 0.000, 0.500)
Rb (0.000, 0.000, 0.000)
Rb (0.667, 0.333, 0.249)
Rb (0.333, 0.667, 0.751)

Output
* energy: -5.530 eV/atom

Entry 18:
Here is Rb2AcGa2O6 after structural relaxation from Alexandria. Energies are from PBE-GGA.

Unit cell a=5.701 b=5.701 c=6.773 alpha=90.00 beta=90.00 gamma=120.00
Last column: magnetic moment on the atom in μB.
Atoms (fractional coordinates):
O (0.000, 0.388, 0.836)  0.14
O (0.388, 0.000, 0.836)  0.14
O (0.612, 0.000, 0.164)  0.14
O (0.000, 0.612, 0.164)  0.14
O (0.612, 0.612, 0.836)  0.14
O (0.388, 0.388, 0.164)  0.14
Rb (0.667, 0.333, 0.500)  0.00
Rb (0.333, 0.667, 0.500)  0.00
Ga (0.333, 0.667, 0.000)  -0.01
Ga (0.667, 0.333, 0.000)  -0.01
Ac (0.000, 0.000, 0.000)  0.04

Output
* energy: -5.618 eV/atom

Entry 19:
Here is Rb2AcGaO4 after structural relaxation from Alexandria. Energies are from PBE-GGA.

Unit cell a=6.257 b=6.257 c=6.257 alpha=89.62 beta=120.22 gamma=120.22
Atoms (fractional coordinates):
Rb (0.500, 0.750, 0.250)
Rb (0.000, 0.000, 0.000)
Ga (0.000, 0.500, 0.500)
O (0.360, 0.824, 0.760)
O (0.936, 0.536, 0.176)
O (0.064, 0.241, 0.600)
O (0.640, 0.400, 0.464)
Ac (0.500, 0.250, 0.750)

Output
* energy: -5.709 eV/atom

Summary of D(E_F) in states/eV per cell
8.1; 0.0; 0.3; 0.0; 5.0; 5.4; 4.7; 1.2; 9.8; 5.3; 8.8; 4.5; 5.0; 2.1; 0.0; 3.1; 0.0; 10.2; 0.0
(order as listed above)